Computed, not measured: EuTl2Cd at its PBEsol-relaxed geometry at the SCAN level of DFT.

It has space group Fm-3m (No. 225), with a = 7.431 Å, b = 7.431 Å, c = 7.431 Å, α = 90.00°, β = 90.00° and γ = 90.00°. The asymmetric unit holds Eu at (0.000, 0.000, 0.000), Tl at (0.250, 0.250, 0.250) and Cd at (0.000, 0.000, 0.500).

Its calculated total energy is -2.116 Ha/atom. As for the density of states at the Fermi level: 5.98 states/eV/cell.

=====

Computed, not measured: LaSc2 at its PBEsol-relaxed geometry at the SCAN level of DFT.

It has space group Immm (No. 71), with a = 3.414 Å, b = 4.586 Å, c = 10.175 Å, α = 90.00°, β = 90.00° and γ = 90.00°. The asymmetric unit holds La at (0.000, 0.000, 0.000) and Sc at (0.000, 0.000, 0.326).

As for the density of states at the Fermi level: 6.50 states/eV/cell. The value obtained for the energy above the lowest structure with this stoichiometry is 23 meV/atom.

=====

Computed, not measured: La3FeSe at its PBEsol-relaxed geometry at the SCAN level of DFT.

It has space group Pm-3m (No. 221), with a = 5.104 Å, b = 5.104 Å, c = 5.104 Å, α = 90.00°, β = 90.00° and γ = 90.00°. The asymmetric unit holds La at (0.000, 0.000, 0.500), Fe at (0.000, 0.000, 0.000) and Se at (0.500, 0.500, 0.500).

As for the density of states at the Fermi level: 4.61 states/eV/cell. The uncorrected formation energy comes out at -2.43 eV per formula unit.

=====

Computed, not measured: Ta2SiCl at its PBEsol-relaxed geometry at the SCAN level of DFT.

It has space group I-42d (No. 122), with a = 6.715 Å, b = 6.715 Å, c = 6.044 Å, α = 90.00°, β = 90.00° and γ = 90.00°. The asymmetric unit holds Ta at (0.218, 0.750, 0.125), Si at (0.000, 0.000, 0.500) and Cl at (0.000, 0.000, 0.000).

As for the density of states at the Fermi level: 13.94 states/eV/cell. The value obtained for the energy above the lowest structure with this stoichiometry is 392 meV/atom. The uncorrected formation energy comes out at 2.69 eV per formula unit.

=====

Computed, not measured: BaSb2SI at its PBEsol-relaxed geometry at the SCAN level of DFT.

It has space group P4/mmm (No. 123), with a = 5.230 Å, b = 5.230 Å, c = 5.843 Å, α = 90.00°, β = 90.00° and γ = 90.00°. The asymmetric unit holds Ba at (0.000, 0.000, 0.000), Sb at (0.000, 0.500, 0.500), S at (0.500, 0.500, 0.500) and I at (0.500, 0.500, 0.000).

As for the density of states at the Fermi level: 6.01 states/eV/cell. The value obtained for the energy above the lowest structure with this stoichiometry is 0 meV/atom. The uncorrected formation energy comes out at -1.41 eV per formula unit.

=====

Computed, not measured: TlTe2AuI at its PBEsol-relaxed geometry at the SCAN level of DFT.

It has space group P4/mmm (No. 123), with a = 5.411 Å, b = 5.411 Å, c = 5.619 Å, α = 90.00°, β = 90.00° and γ = 90.00°. The asymmetric unit holds Tl at (0.000, 0.000, 0.000), Te at (0.000, 0.500, 0.500), Au at (0.500, 0.500, 0.500) and I at (0.500, 0.500, 0.000).

As for the density of states at the Fermi level: 4.46 states/eV/cell. The uncorrected formation energy comes out at 0.35 eV per formula unit.

=====

Computed, not measured: Y2ZrMnW at its PBEsol-relaxed geometry at the SCAN level of DFT.

It has space group P4/mmm (No. 123), with a = 5.252 Å, b = 5.252 Å, c = 4.361 Å, α = 90.00°, β = 90.00° and γ = 90.00°. The asymmetric unit holds Y at (0.000, 0.500, 0.000), Zr at (0.000, 0.000, 0.000), Mn at (0.000, 0.000, 0.500) and W at (0.500, 0.500, 0.500).

Its calculated total energy is -1.220 Ha/atom. As for the density of states at the Fermi level: 5.08 states/eV/cell.

=====

Computed, not measured: RbZrRh2I at its PBEsol-relaxed geometry at the SCAN level of DFT.

It has space group P4/mmm (No. 123), with a = 4.735 Å, b = 4.735 Å, c = 7.475 Å, α = 90.00°, β = 90.00° and γ = 90.00°. The asymmetric unit holds Rb at (0.000, 0.000, 0.000), Zr at (0.000, 0.000, 0.500), Rh at (0.000, 0.500, 0.500) and I at (0.500, 0.500, 0.000).

As for the density of states at the Fermi level: 1.57 states/eV/cell. The uncorrected formation energy comes out at 2.43 eV per formula unit.